Record 1
Below is TcNi2Pd after structural relaxation, with properties calculated at the PBE level.

a b c (Å): 2.6717 2.6717 25.4657
angles (deg): 90.00 90.00 120.00
With the nearest neighbours (Å) after each atom.
Fractional positions:
Tc: 0.0000 0.0000 0.0000  6 Ni 2.57, 6 Tc 2.67
Tc: 0.3333 0.6667 0.6667  6 Ni 2.57, 6 Tc 2.67
Tc: 0.6667 0.3333 0.3333  6 Ni 2.57, 6 Tc 2.67
Ni: 0.0000 0.0000 0.2525  3 Tc 2.57, 6 Ni 2.67, 3 Pd 2.67
Ni: 0.0000 0.0000 0.7475  3 Tc 2.57, 6 Ni 2.67, 3 Pd 2.67
Ni: 0.3333 0.6667 0.4142  3 Tc 2.57, 6 Ni 2.67, 3 Pd 2.67
Ni: 0.3333 0.6667 0.9191  3 Tc 2.57, 6 Ni 2.67, 3 Pd 2.67
Ni: 0.6667 0.3333 0.0809  3 Tc 2.57, 6 Ni 2.67, 3 Pd 2.67
Ni: 0.6667 0.3333 0.5858  3 Tc 2.57, 6 Ni 2.67, 3 Pd 2.67
Pd: 0.0000 0.0000 0.5000  6 Pd 2.67, 6 Ni 2.67
Pd: 0.3333 0.6667 0.1667  6 Pd 2.67, 6 Ni 2.67
Pd: 0.6667 0.3333 0.8333  6 Pd 2.67, 6 Ni 2.67

ΔE_f, eV/atom: 0.06

***

Record 2
Below is Ni7BH3 after structural relaxation, with properties calculated at the PBE level.

a b c (Å): 4.2597 4.2597 5.3371
angles (deg): 101.51 101.51 100.82
With the nearest neighbours (Å) after each atom.
Fractional positions:
Ni: 0.0000 0.0000 0.0000  2 H 1.74
Ni: 0.1685 0.5750 0.2807  1 H 1.67
Ni: 0.3938 0.9986 0.7141  2 H 1.72-1.73
Ni: 0.5683 0.5683 0.0034  2 H 1.68
Ni: 0.5750 0.1685 0.2807  1 H 1.67
Ni: 0.7867 0.7867 0.5071  1 H 1.63
Ni: 0.9986 0.3938 0.7141  2 H 1.72-1.73
B: 0.1022 0.1022 0.3900  1 H 1.94, 4 Ni 1.98-2.09
H: 0.2642 0.7552 0.9135  4 Ni 1.68-1.74
H: 0.4771 0.4771 0.4734  3 Ni 1.63-1.67
H: 0.7552 0.2642 0.9135  4 Ni 1.68-1.74

***

Record 3
Below is CdFe2Pt after structural relaxation, with properties calculated at the PBE level.

a b c (Å): 6.2144 6.2144 6.2144
angles (deg): 90.00 90.00 90.00
With the nearest neighbours (Å) after each atom.
Fractional positions:
Cd: 0.0000 0.0000 0.0000  4 Fe 2.69, 4 Pt 2.69
Cd: 0.0000 0.5000 0.5000  4 Fe 2.69, 4 Pt 2.69
Cd: 0.5000 0.0000 0.5000  4 Fe 2.69, 4 Pt 2.69
Cd: 0.5000 0.5000 0.0000  4 Fe 2.69, 4 Pt 2.69
Fe: 0.0000 0.0000 0.5000  4 Fe 2.69, 4 Pt 2.69
Fe: 0.0000 0.5000 0.0000  4 Fe 2.69, 4 Pt 2.69
Fe: 0.2500 0.2500 0.7500  4 Cd 2.69, 4 Fe 2.69
Fe: 0.2500 0.7500 0.2500  4 Cd 2.69, 4 Fe 2.69
Fe: 0.5000 0.0000 0.0000  4 Fe 2.69, 4 Pt 2.69
Fe: 0.5000 0.5000 0.5000  4 Fe 2.69, 4 Pt 2.69
Fe: 0.7500 0.2500 0.2500  4 Cd 2.69, 4 Fe 2.69
Fe: 0.7500 0.7500 0.7500  4 Fe 2.69, 4 Cd 2.69
Pt: 0.2500 0.2500 0.2500  4 Cd 2.69, 4 Fe 2.69
Pt: 0.2500 0.7500 0.7500  4 Cd 2.69, 4 Fe 2.69
Pt: 0.7500 0.2500 0.7500  4 Cd 2.69, 4 Fe 2.69
Pt: 0.7500 0.7500 0.2500  4 Cd 2.69, 4 Fe 2.69

ΔE_f, eV/atom: 0.09

***

Record 4
Below is Re3SiBr after structural relaxation, with properties calculated at the PBE level.

a b c (Å): 4.5079 4.5079 4.5079
angles (deg): 90.00 90.00 90.00
With the nearest neighbours (Å) after each atom.
Fractional positions:
Re: 0.0000 0.0000 0.5000  2 Si 2.25
Re: 0.0000 0.5000 0.0000  2 Si 2.25
Re: 0.5000 0.0000 0.0000  2 Si 2.25
Si: 0.0000 0.0000 0.0000  6 Re 2.25
Br: 0.5000 0.5000 0.5000  12 Re 3.19

***

Record 5
Below is HfRu2PtW after structural relaxation, with properties calculated at the PBE level.

a b c (Å): 4.5917 4.5917 5.0164
angles (deg): 90.00 90.00 90.00
With the nearest neighbours (Å) after each atom.
Fractional positions:
Hf: 0.0000 0.0000 0.0000  2 W 2.51
Ru: 0.0000 0.5000 0.5000  2 W 2.30
Ru: 0.5000 0.0000 0.5000  2 W 2.30
Pt: 0.5000 0.5000 0.0000  4 Hf 3.25, 8 Ru 3.40
W: 0.0000 0.0000 0.5000  4 Ru 2.30, 2 Hf 2.51

ΔE_f, eV/atom: 1.29

***

Record 6
Below is Cd2RuBr after structural relaxation, with properties calculated at the PBE level.

a b c (Å): 13.7183 3.0929 4.6800
angles (deg): 90.00 109.76 90.00
With the nearest neighbours (Å) after each atom.
Fractional positions:
Cd: 0.0000 0.0000 0.0000  4 Ru 2.82, 4 Cd 3.07-3.09
Cd: 0.1539 0.0000 0.6519  2 Ru 2.78, 4 Cd 3.07-3.09
Cd: 0.5000 0.5000 0.0000  4 Ru 2.82, 4 Cd 3.07-3.09
Cd: 0.6539 0.5000 0.6519  2 Ru 2.78, 4 Cd 3.07-3.09
Ru: 0.4746 0.0000 0.4749  2 Br 2.56, 6 Cd 2.78-2.82
Ru: 0.9746 0.5000 0.4749  2 Br 2.56, 6 Cd 2.78-2.82
Br: 0.3169 0.5000 0.3190  2 Ru 2.56
Br: 0.8169 0.0000 0.3190  2 Ru 2.56

***

Total DFT energy (no corrections), respectively: -6.719; -5.194; -5.885; -7.001; -8.209; -3.028 eV/atom.